Record 1
VASP calculation (PBE) on a geometry-optimized CaGa2Te2 structure.

* magnetic moment: 0.00 μB/f.u.
* SG: No. 139
* DFT total energy: -3.386 eV per atom
* relative energy among the computed polymorphs: 14.1 meV/atom
* raw formation energy: -0.519 eV per atom

```
CaGa2Te2
1.0
-2.816 2.816 4.321
2.816 -2.816 4.321
2.816 2.816 -4.321
Ca Ga Te
1 2 2
Cartesian
0.000 0.000 0.000 Ca
0.000 0.000 3.047 Ga
0.000 0.000 5.595 Ga
2.816 0.000 2.161 Te
0.000 2.816 2.161 Te
```


Record 2
VASP calculation (PBE) on a geometry-optimized CaGa6Te10 structure.

* magnetic moment: 0.00 μB/f.u.
* SG: No. 5
* DFT total energy: -3.517 eV per atom
* raw formation energy: -0.483 eV per atom

```
CaGa6Te10
1.0
7.500 -7.358 0.000
7.500 7.358 0.000
-0.063 0.000 10.420
Ca Ga Te
2 12 20
Cartesian
1.919 0.000 2.589 Ca
13.018 0.000 7.831 Ca
4.386 3.849 6.489 Ga
3.795 3.120 2.582 Ga
6.755 4.794 3.468 Ga
8.183 4.794 6.952 Ga
4.163 -0.376 6.890 Ga
10.552 3.849 3.931 Ga
11.143 3.120 7.838 Ga
6.801 -2.408 8.716 Ga
8.137 -2.408 1.704 Ga
5.349 -5.234 0.776 Ga
10.775 -0.376 3.530 Ga
9.588 -5.234 9.643 Ga
7.469 6.686 5.210 Te
2.586 1.850 6.994 Te
6.107 4.241 8.481 Te
4.190 1.313 0.702 Te
5.648 2.571 4.495 Te
8.830 4.241 1.939 Te
2.677 -1.834 8.602 Te
4.331 -1.222 4.355 Te
6.516 0.046 7.919 Te
9.290 2.571 5.925 Te
5.614 -2.601 0.724 Te
8.421 0.046 2.501 Te
10.747 1.313 9.717 Te
6.110 -4.243 6.924 Te
12.352 1.850 3.426 Te
10.606 -1.222 6.065 Te
9.323 -2.601 9.696 Te
8.828 -4.243 3.496 Te
12.261 -1.834 1.818 Te
7.500 -6.688 0.000 Te
```


Record 3
VASP calculation (PBE) on a geometry-optimized CaGaTe2 structure.

* magnetic moment: 0.00 μB/f.u.
* SG: No. 2
* DFT total energy: -3.717 eV per atom
* raw formation energy: -0.889 eV per atom

```
CaGaTe2
1.0
4.351 0.000 0.000
-2.117 7.552 0.000
-0.342 -2.671 8.398
Ca Ga Te
2 2 4
Cartesian
-0.176 3.096 2.003 Ca
2.068 1.785 6.395 Ca
-0.152 -0.780 3.098 Ga
2.045 5.660 5.300 Ga
-0.101 -0.262 7.330 Te
-0.126 3.941 5.169 Te
2.018 0.939 3.229 Te
1.993 5.142 1.068 Te
```